1.
Computed, not measured: a geometry-optimized Na3Mg2OsO6 structure at the PBE-GGA level of DFT.

a = 5.2861 Å, b = 5.2861 Å, c = 5.6143 Å
α = 99.08°, β = 99.08°, γ = 119.97°
Each line ends with the local moment (μB).
Sites, in units of the cell vectors:
O 0.2509 0.2509 0.7966  0.11
O 0.3875 0.0679 0.2044  0.11
O 0.0679 0.3875 0.2044  0.11
O 0.6125 0.9321 0.7956  0.11
O 0.7491 0.7491 0.2034  0.11
O 0.9321 0.6125 0.7956  0.11
Os 0.0000 0.0000 0.0000  2.05
Na 0.5000 0.5000 0.5000  0.00
Na 0.1708 0.8292 0.5000  0.00
Na 0.8292 0.1708 0.5000  0.00
Mg 0.6665 0.3335 0.0000  0.01
Mg 0.3335 0.6665 0.0000  0.01

**M_tot**: 3.0 μB/f.u.
**DFT total energy**: -5.849 eV per atom
**Space group**: No. 12

2.
Computed, not measured: a geometry-optimized GdTmFe2Ge2C structure at the PBE-GGA level of DFT.

a = 5.6929 Å, b = 5.6929 Å, c = 6.8027 Å
α = 125.90°, β = 125.90°, γ = 40.71°
Sites, in units of the cell vectors:
Ge 0.1623 0.1623 0.7081
Ge 0.8369 0.8369 0.2896
Tm 0.5563 0.5563 0.2862
C 0.0018 0.0018 0.0053
Gd 0.4412 0.4412 0.7086
Fe 0.8049 0.8049 0.9117
Fe 0.1965 0.1965 0.0905

**M_tot**: 0.0 μB/f.u.
**DFT total energy**: -6.921 eV per atom
**Space group**: No. 8

3.
Computed, not measured: a geometry-optimized GdScH2Cl4 structure at the PBE-GGA level of DFT.

a = 3.6432 Å, b = 3.6432 Å, c = 13.3156 Å
α = 90.00°, β = 90.00°, γ = 120.00°
Sites, in units of the cell vectors:
Cl 0.3333 0.6667 0.8645
Cl 0.3333 0.6667 0.1355
Cl 0.6667 0.3333 0.6239
Cl 0.6667 0.3333 0.3761
H 0.6667 0.3333 0.0000
H 0.3333 0.6667 0.5000
Gd 0.0000 0.0000 0.0000
Sc 0.0000 0.0000 0.5000

**M_tot**: 0.0 μB/f.u.
**DFT total energy**: -4.789 eV per atom
**Space group**: No. 187

4.
Computed, not measured: a geometry-optimized NdAgHg structure at the PBE-GGA level of DFT.

a = 4.9472 Å, b = 4.9472 Å, c = 3.4543 Å
α = 90.00°, β = 90.00°, γ = 120.00°
Sites, in units of the cell vectors:
Ag 0.0000 0.0000 0.8332
Nd 0.6667 0.3333 0.3334
Hg 0.3333 0.6667 0.8334

**M_tot**: 0.0 μB/f.u.
**ΔE_f**: -0.389 eV per atom
**Space group**: No. 187

5.
Computed, not measured: a geometry-optimized Ho3Al2ZnCuAu2 structure at the PBE-GGA level of DFT.

a = 4.0090 Å, b = 7.2077 Å, c = 7.2077 Å
α = 119.54°, β = 90.00°, γ = 90.00°
Sites, in units of the cell vectors:
Zn 0.5000 0.7659 0.7659
Al 0.5000 0.2314 0.0026
Al 0.5000 0.0026 0.2314
Ho 0.0000 0.5942 0.9947
Ho 0.0000 0.9947 0.5942
Ho 0.0000 0.4108 0.4108
Cu 0.0000 0.0085 0.0085
Au 0.5000 0.3253 0.6665
Au 0.5000 0.6665 0.3253

**M_tot**: 0.0 μB/f.u.
**DFT total energy**: -4.300 eV per atom
**Space group**: No. 38

6.
Computed, not measured: a geometry-optimized ZrTlAg2Se4 structure at the PBE-GGA level of DFT.

a = 7.6032 Å, b = 7.6032 Å, c = 7.6032 Å
α = 131.53°, β = 131.53°, γ = 70.97°
Sites, in units of the cell vectors:
Se 0.8603 0.3948 0.9829
Se 0.1226 0.1397 0.5345
Se 0.4119 0.8774 0.0171
Se 0.6052 0.5881 0.4655
Zr 0.7500 0.2500 0.5000
Tl 0.0000 0.0000 0.0000
Ag 0.2500 0.7500 0.5000
Ag 0.5000 0.5000 0.0000

**M_tot**: 0.0 μB/f.u.
**DFT total energy**: -4.315 eV per atom
**Space group**: No. 82

7.
Computed, not measured: a geometry-optimized PaBPO structure at the PBE-GGA level of DFT.

a = 5.5328 Å, b = 5.5328 Å, c = 4.1515 Å
α = 90.00°, β = 90.00°, γ = 90.00°
Sites, in units of the cell vectors:
B 0.5000 0.5000 0.7061
B 0.0000 0.0000 0.2939
P 0.5000 0.5000 0.2271
P 0.0000 0.0000 0.7729
O 0.0000 0.5000 0.0000
O 0.5000 0.0000 0.0000
Pa 0.5000 0.0000 0.5000
Pa 0.0000 0.5000 0.5000

**M_tot**: 0.0 μB/f.u.
**Energy above the lowest structure with this stoichiometry**: 578 meV per atom
**Space group**: No. 129

8.
Computed, not measured: a geometry-optimized AcSiNi structure at the PBE-GGA level of DFT.

a = 4.9038 Å, b = 4.9038 Å, c = 4.9038 Å
α = 60.00°, β = 60.00°, γ = 60.00°
Sites, in units of the cell vectors:
Ac 0.0000 0.0000 0.0000
Si 0.7500 0.7500 0.7500
Ni 0.2500 0.2500 0.2500

**M_tot**: 0.0 μB/f.u.
**Energy above the lowest structure with this stoichiometry**: 1233 meV per atom
**Space group**: No. 216

9.
Computed, not measured: a geometry-optimized SmCdW structure at the PBE-GGA level of DFT.

a = 4.9154 Å, b = 4.9154 Å, c = 4.9154 Å
α = 60.00°, β = 60.00°, γ = 60.00°
Sites, in units of the cell vectors:
Sm 0.0000 0.0000 0.0000
W 0.7500 0.7500 0.7500
Cd 0.2500 0.2500 0.2500

**M_tot**: 3.0 μB/f.u.
**ΔE_f**: 1.472 eV per atom
**Space group**: No. 216

10.
Computed, not measured: a geometry-optimized Li2Cd2O5 structure at the PBE-GGA level of DFT.

a = 8.6238 Å, b = 3.3446 Å, c = 3.3446 Å
α = 90.00°, β = 90.00°, γ = 90.00°
Sites, in units of the cell vectors:
Li 0.7165 0.5000 0.5000
Li 0.2835 0.5000 0.5000
Cd 0.0000 0.0000 0.0000
Cd 0.5000 0.0000 0.0000
O 0.1848 0.0000 0.5000
O 0.1848 0.5000 0.0000
O 0.8152 0.0000 0.5000
O 0.5000 0.5000 0.5000
O 0.8152 0.5000 0.0000

**Energy above the lowest structure with this stoichiometry**: 106 meV per atom
**Space group**: No. 123

11.
Computed, not measured: a geometry-optimized LaAlPt2 structure at the PBE-GGA level of DFT.

a = 7.3440 Å, b = 4.2724 Å, c = 10.6989 Å
α = 90.00°, β = 90.00°, γ = 90.00°
Sites, in units of the cell vectors:
Pt 0.7158 0.2500 0.4393
Pt 0.7842 0.7500 0.9393
Pt 0.1314 0.2500 0.6946
Pt 0.3686 0.7500 0.1946
Pt 0.8686 0.7500 0.3054
Pt 0.6314 0.2500 0.8054
Pt 0.2842 0.7500 0.5607
Pt 0.2158 0.2500 0.0607
La 0.1577 0.2500 0.3583
La 0.8423 0.7500 0.6417
La 0.3423 0.7500 0.8583
La 0.6577 0.2500 0.1417
Al 0.9670 0.2500 0.8992
Al 0.0330 0.7500 0.1008
Al 0.4670 0.2500 0.6008
Al 0.5330 0.7500 0.3992

**M_tot**: 0.0 μB/f.u.
**DFT total energy**: -6.348 eV per atom
**Space group**: No. 62

12.
Computed, not measured: a geometry-optimized Rb2WSe3 structure at the PBE-GGA level of DFT.

a = 7.2228 Å, b = 7.7743 Å, c = 9.0209 Å
α = 73.83°, β = 68.92°, γ = 66.09°
Each line ends with the local moment (μB).
Sites, in units of the cell vectors:
Rb 0.0920 0.1955 0.1303  0.00
Rb 0.9080 0.8045 0.8697  0.00
Rb 0.3397 0.5620 0.3059  0.00
Rb 0.6603 0.4380 0.6941  0.00
Se 0.6157 0.1736 0.0975  0.03
Se 0.3843 0.8264 0.9025  0.03
Se 0.2615 0.9550 0.4869  -0.02
Se 0.8255 0.6324 0.2805  0.03
Se 0.1745 0.3676 0.7195  0.03
Se 0.7385 0.0450 0.5131  -0.02
W 0.3803 0.0510 0.6602  0.61
W 0.6197 0.9490 0.3398  0.61

**M_tot**: 1.1 μB/f.u.
**Energy above the lowest structure with this stoichiometry**: 0 meV per atom
**Space group**: No. 2